Here is an optimized crystal structure of TaAlV2Ge from Alexandria via LeMat-Bulk. Energies are from PBE-GGA.

```
TaAlV2Ge
1.0
-2.020 -3.959 -1.584
4.323 -1.491 -1.787
0.960 -2.130 4.099
Ge V Al Ta
1 2 1 1
direct
0.000 0.500 0.000
0.000 0.000 0.500
0.500 0.000 0.000
0.500 0.500 0.500
0.000 0.000 0.000
```

Results
E_tot, eV per formula unit: -32.04
Formation energy from the elements, meV per atom: 1283
Symmetry: No. 123
Spin magnetization, Bohr magnetons per cell: 2.8

=====

Here is an optimized crystal structure of PHIr2N from Alexandria via LeMat-Bulk. Energies are from PBE-GGA.

```
PHIr2N
1.0
3.945 0.000 0.000
0.000 3.485 0.000
0.000 0.000 3.945
P Ir H N
1 2 1 1
direct
0.000 0.500 0.000
0.000 0.000 0.500
0.500 0.000 0.000
0.000 0.000 0.000
0.500 0.500 0.500
```

Results
E_tot, eV per formula unit: -28.41
Symmetry: No. 123
Spin magnetization, Bohr magnetons per cell: 0.0

=====

Here is an optimized crystal structure of Sm3AgC from Alexandria via LeMat-Bulk. Energies are from PBE-GGA.

```
Sm3AgC
1.0
-2.441 0.343 -2.782
5.309 -4.939 -5.269
-6.937 -12.329 4.567
Sm Ag C
12 4 4
direct
0.750 0.199 0.312
0.250 0.679 0.982
0.250 0.014 0.101
0.250 0.514 0.399
0.250 0.179 0.518
0.750 0.486 0.601
0.250 0.301 0.812
0.750 0.986 0.899
0.750 0.321 0.018
0.750 0.699 0.188
0.750 0.821 0.482
0.250 0.801 0.688
0.250 0.906 0.318
0.750 0.094 0.682
0.750 0.594 0.818
0.250 0.406 0.182
0.250 0.659 0.548
0.750 0.341 0.452
0.750 0.841 0.048
0.250 0.159 0.952
```

Results
E_tot, eV per formula unit: -27.17
Formation energy from the elements, meV per atom: -187
Symmetry: No. 62
Spin magnetization, Bohr magnetons per cell: 0.0

=====

Here is an optimized crystal structure of Pm2AlRu2 from Alexandria via LeMat-Bulk. Energies are from PBE-GGA.

```
Pm2AlRu2
1.0
-1.140 -1.778 5.387
3.977 0.280 4.194
-1.786 6.606 3.738
Pm Al Ru
4 2 4
direct
0.501 0.209 0.144
0.791 0.499 0.356
0.499 0.791 0.856
0.209 0.501 0.644
0.107 0.893 0.250
0.893 0.107 0.750
0.712 0.012 0.516
0.988 0.288 0.984
0.288 0.988 0.484
0.012 0.712 0.016
```

Results
E_tot, eV per formula unit: -33.85
Formation energy from the elements, meV per atom: -411
Symmetry: No. 15
Spin magnetization, Bohr magnetons per cell: 0.0

=====

Here is an optimized crystal structure of ZrPaNiIr from Alexandria via LeMat-Bulk. Energies are from PBE-GGA.

```
ZrPaNiIr
1.0
-1.923 2.597 1.424
-3.486 -2.519 -0.114
2.060 -3.030 3.929
Zr Pa Ni Ir
1 1 1 1
direct
0.143 0.000 0.285
0.862 0.500 0.724
0.407 0.000 0.815
0.588 0.500 0.176
```

Results
E_tot, eV per formula unit: -35.25
Formation energy from the elements, meV per atom: -642
Symmetry: No. 38
Spin magnetization, Bohr magnetons per cell: 0.0

=====

Here is an optimized crystal structure of ScVCdCl2 from Alexandria via LeMat-Bulk. Energies are from PBE-GGA.

```
ScVCdCl2
1.0
-2.084 -1.705 3.918
-4.780 -2.266 -3.528
2.342 -4.102 -0.539
Sc Cl V Cd
1 2 1 1
direct
0.000 0.000 0.000
0.000 0.000 0.500
0.500 0.000 0.000
0.500 0.500 0.500
0.000 0.500 0.000
```

Results
E_tot, eV per formula unit: -19.51
Raw formation energy, meV per atom: 110
Symmetry: No. 123
Spin magnetization, Bohr magnetons per cell: 0.2

=====

Here is an optimized crystal structure of Ho2ErUO8 from Alexandria via LeMat-Bulk. Energies are from PBE-GGA.

```
Ho2ErUO8
1.0
-3.077 -1.954 -1.208
2.917 -4.409 -0.296
-1.751 -1.636 7.107
Ho Er U O
2 1 1 8
direct
0.500 0.500 0.748
0.500 0.500 0.252
0.000 0.000 0.500
0.000 0.000 0.000
0.000 0.758 0.231
0.500 0.766 0.000
0.000 0.242 0.231
0.000 0.242 0.769
0.500 0.234 0.000
0.000 0.758 0.769
0.500 0.751 0.500
0.500 0.249 0.500
```

Results
E_tot, eV per formula unit: -104.23
Raw formation energy, meV per atom: -3297
Symmetry: No. 47
Spin magnetization, Bohr magnetons per cell: 0.0

=====

Here is an optimized crystal structure of Y2Er3Sc3 from Alexandria via LeMat-Bulk. Energies are from PBE-GGA.

```
Y2Er3Sc3
1.0
-4.254 -0.474 -2.190
-0.617 -4.358 2.142
-1.924 6.736 7.558
Y Er Sc
2 3 3
direct
0.749 0.249 0.498
0.251 0.751 0.502
0.621 0.621 0.241
0.379 0.379 0.759
0.500 0.000 0.000
0.122 0.122 0.244
0.000 0.500 0.000
0.878 0.878 0.756
```

Results
E_tot, eV per formula unit: -45.19
Formation energy from the elements, meV per atom: 53
Symmetry: No. 71
Spin magnetization, Bohr magnetons per cell: 0.0

=====

Here is an optimized crystal structure of Ba2HRhAu from Alexandria via LeMat-Bulk. Energies are from PBE-GGA.

```
Ba2HRhAu
1.0
4.513 0.000 0.000
0.000 6.855 0.025
0.000 -2.909 8.664
Ba H Rh Au
4 2 2 2
direct
0.750 0.778 0.594
0.750 0.752 0.037
0.250 0.222 0.406
0.250 0.248 0.963
0.250 0.835 0.844
0.750 0.165 0.156
0.250 0.579 0.769
0.750 0.421 0.231
0.250 0.674 0.297
0.750 0.326 0.703
```

Results
E_tot, eV per formula unit: -20.24
Symmetry: No. 11
Spin magnetization, Bohr magnetons per cell: 0.0

=====

Here is an optimized crystal structure of PaCoS2 from Alexandria via LeMat-Bulk. Energies are from PBE-GGA.

```
PaCoS2
1.0
3.553 0.107 -0.951
-0.356 4.341 -1.192
-0.510 -0.978 5.291
Pa Co S
1 1 2
direct
0.393 0.553 0.000
0.811 0.200 0.000
0.074 0.068 0.353
0.722 0.715 0.647
```

Results
E_tot, eV per formula unit: -28.37
Raw formation energy, meV per atom: -877
Symmetry: No. 8
Spin magnetization, Bohr magnetons per cell: 0.0

=====

Here is an optimized crystal structure of PrHo7Sc4 from Alexandria via LeMat-Bulk. Energies are from PBE-GGA.

```
PrHo7Sc4
1.0
-3.513 2.014 -4.059
-7.008 -5.751 -0.837
-7.008 2.673 3.343
Pr Ho Sc
1 7 4
direct
0.000 0.000 0.000
0.787 0.883 0.542
0.213 0.117 0.458
0.090 0.548 0.272
0.910 0.452 0.728
0.237 0.727 0.798
0.500 0.000 0.000
0.763 0.273 0.202
0.557 0.300 0.586
0.443 0.700 0.414
0.666 0.646 0.022
0.334 0.354 0.978
```

Results
E_tot, eV per formula unit: -59.22
Formation energy from the elements, meV per atom: 244
Symmetry: No. 12
Spin magnetization, Bohr magnetons per cell: 0.3

=====

Here is an optimized crystal structure of TbYGa from Alexandria via LeMat-Bulk. Energies are from PBE-GGA.

```
TbYGa
1.0
-3.142 -2.139 2.161
-4.012 -0.980 -6.804
5.308 -5.461 2.312
Tb Y Ga
3 3 3
direct
0.000 0.738 0.738
0.000 0.000 0.262
0.000 0.262 0.000
0.500 0.407 0.407
0.500 0.000 0.593
0.500 0.593 0.000
0.000 0.333 0.667
0.000 0.667 0.333
0.500 0.000 0.000
```

Results
E_tot, eV per formula unit: -15.35
Formation energy from the elements, meV per atom: -411
Symmetry: No. 189
Spin magnetization, Bohr magnetons per cell: 2.7

=====

Here is an optimized crystal structure of PmHoTe2Cl from Alexandria via LeMat-Bulk. Energies are from PBE-GGA.

```
PmHoTe2Cl
1.0
4.324 0.000 0.000
0.000 4.324 0.000
0.000 0.000 14.990
Pm Ho Te Cl
2 2 4 2
direct
0.500 0.000 0.633
0.000 0.500 0.367
0.500 0.000 0.083
0.000 0.500 0.917
0.000 0.500 0.706
0.000 0.500 0.123
0.500 0.000 0.877
0.500 0.000 0.294
0.000 0.000 0.500
0.500 0.500 0.500
```

Results
E_tot, eV per formula unit: -25.38
Raw formation energy, meV per atom: -1584
Symmetry: No. 129
Spin magnetization, Bohr magnetons per cell: 0.0

=====

Here is an optimized crystal structure of Er6CoSb3 from Alexandria via LeMat-Bulk. Energies are from PBE-GGA.

```
Er6CoSb3
1.0
7.334 0.000 0.000
0.000 9.026 -0.044
0.000 -2.057 8.789
Er Co Sb
12 2 6
direct
0.173 0.707 0.629
0.673 0.629 0.707
0.169 0.400 0.905
0.669 0.905 0.400
0.247 0.007 0.993
0.706 0.243 0.757
0.206 0.757 0.243
0.747 0.993 0.007
0.169 0.095 0.600
0.669 0.600 0.095
0.173 0.371 0.293
0.673 0.293 0.371
0.994 0.138 0.862
0.494 0.862 0.138
0.492 0.929 0.708
0.992 0.708 0.929
0.370 0.396 0.604
0.870 0.604 0.396
0.992 0.071 0.292
0.492 0.292 0.071
```

Results
E_tot, eV per formula unit: -51.71
Raw formation energy, meV per atom: -486
Symmetry: No. 36
Spin magnetization, Bohr magnetons per cell: 0.0

=====

Here is an optimized crystal structure of CsK2MgP from Alexandria via LeMat-Bulk. Energies are from PBE-GGA.

```
CsK2MgP
1.0
6.634 0.000 0.000
0.000 6.634 0.000
0.000 0.000 5.150
Cs P K Mg
1 1 2 1
direct
0.500 0.500 0.500
0.000 0.000 0.000
0.000 0.500 0.000
0.500 0.000 0.000
0.000 0.000 0.500
```

Results
E_tot, eV per formula unit: -10.38
Formation energy from the elements, meV per atom: -66
Symmetry: No. 123
Spin magnetization, Bohr magnetons per cell: 0.4

=====

Here is an optimized crystal structure of RhWBr from Alexandria via LeMat-Bulk. Energies are from PBE-GGA.

```
RhWBr
1.0
-3.530 0.025 2.482
-1.576 -3.707 1.548
0.317 -0.888 4.211
Rh Br W
1 1 1
direct
0.500 0.500 0.500
0.000 0.000 0.000
0.750 0.750 0.750
```

Results
E_tot, eV per formula unit: -19.37
Raw formation energy, meV per atom: 869
Symmetry: No. 216
Spin magnetization, Bohr magnetons per cell: 0.0

=====

Here is an optimized crystal structure of ThBIrRu2 from Alexandria via LeMat-Bulk. Energies are from PBE-GGA.

```
ThBIrRu2
1.0
4.226 0.000 0.000
0.000 4.302 0.000
0.000 0.000 4.302
Th B Ir Ru
1 1 1 2
direct
0.500 0.500 0.500
0.000 0.000 0.000
0.500 0.000 0.000
0.000 0.000 0.500
0.000 0.500 0.000
```

Results
E_tot, eV per formula unit: -44.54
Formation energy from the elements, meV per atom: -607
Symmetry: No. 123
Spin magnetization, Bohr magnetons per cell: 0.0

=====

Here is an optimized crystal structure of Nb2ZnCo2 from Alexandria via LeMat-Bulk. Energies are from PBE-GGA.

```
Nb2ZnCo2
1.0
-3.893 -2.198 5.847
3.738 -6.340 0.105
1.906 1.152 1.703
Nb Co Zn
4 4 2
direct
0.339 0.839 0.000
0.839 0.661 0.000
0.661 0.161 0.000
0.161 0.339 0.000
0.130 0.630 0.500
0.630 0.870 0.500
0.870 0.370 0.500
0.370 0.130 0.500
0.000 0.000 0.000
0.500 0.500 0.000
```

Results
E_tot, eV per formula unit: -35.07
Formation energy from the elements, meV per atom: 111
Symmetry: No. 127
Spin magnetization, Bohr magnetons per cell: 0.0

=====

Here is an optimized crystal structure of KPPt2Rh from Alexandria via LeMat-Bulk. Energies are from PBE-GGA.

```
KPPt2Rh
1.0
4.859 0.000 0.000
0.000 4.970 0.000
0.000 0.000 4.859
P K Rh Pt
1 1 1 2
direct
0.000 0.500 0.000
0.000 0.000 0.000
0.500 0.500 0.500
0.000 0.000 0.500
0.500 0.000 0.000
```

Results
E_tot, eV per formula unit: -13.63
Formation energy from the elements, meV per atom: 2462
Symmetry: No. 123
Spin magnetization, Bohr magnetons per cell: 1.6

=====

Here is an optimized crystal structure of NbPtF3 from Alexandria via LeMat-Bulk. Energies are from PBE-GGA.

```
NbPtF3
1.0
4.364 0.000 0.000
0.000 4.364 0.000
0.000 0.000 4.364
Nb Pt F
1 1 3
direct
0.500 0.500 0.500
0.000 0.000 0.000
0.000 0.500 0.000
0.000 0.000 0.500
0.500 0.000 0.000
```

Results
E_tot, eV per formula unit: -22.39
Raw formation energy, meV per atom: -132
Symmetry: No. 221
Spin magnetization, Bohr magnetons per cell: 3.5